No. 1
The following is a DFT calculation (PBE) of crystalline DyEr2Al at its relaxed geometry.

The structure in POSCAR format:
```
DyEr2Al
1.0
5.2787 0.0000 0.0000
0.0000 3.3916 5.8668
0.0000 -3.3916 5.8668
Dy Er Al
2 4 2
Direct
0.0000 0.2381 0.7619
0.0000 0.7619 0.2381
0.0000 0.7615 0.7615
0.5000 0.4134 0.4134
0.5000 0.4135 0.9363
0.5000 0.9363 0.4135
0.0000 0.2544 0.2544
0.5000 0.9197 0.9197
```

Summary:
As for the space group: Amm2. Its volume is 26.3 A^3/atom. The energy of formation comes out at -0.200 eV/atom. For the energy above the lowest structure with this stoichiometry, the calculation gives 0.00 eV/f.u.

***

No. 2
The following is a DFT calculation (PBE) of crystalline Dy2Er3Al3 at its relaxed geometry.

The structure in POSCAR format:
```
Dy2Er3Al3
1.0
4.7567 0.0000 0.0000
0.0000 4.7603 0.0000
0.0000 0.0000 8.7805
Dy Er Al
2 3 3
Direct
0.0000 0.0000 0.2292
0.0000 0.0000 0.7708
0.0000 0.5000 0.5000
0.5000 0.5000 0.2256
0.5000 0.5000 0.7744
0.0000 0.5000 0.0000
0.5000 0.0000 0.0000
0.5000 0.0000 0.5000
```

Summary:
As for the space group: Pmmm. Its volume is 24.9 A^3/atom. The energy of formation comes out at -0.275 eV/atom. For the energy above the lowest structure with this stoichiometry, the calculation gives 0.16 eV/f.u.

***

No. 3
The following is a DFT calculation (PBE) of crystalline DyEr5Al2 at its relaxed geometry.

The structure in POSCAR format:
```
DyEr5Al2
1.0
-1.7469 5.0776 6.1944
1.7469 -5.0776 6.1944
1.7469 5.0776 -6.1944
Dy Er Al
1 5 2
Direct
0.0000 0.0000 0.0000
0.1368 0.3635 0.7733
0.4098 0.6365 0.7733
0.5000 0.0000 0.5000
0.5902 0.3635 0.2267
0.8632 0.6365 0.2267
0.2413 0.7413 0.5000
0.7587 0.2587 0.5000
```

Summary:
As for the space group: Immm. Its volume is 27.5 A^3/atom. The energy of formation comes out at -0.096 eV/atom.

***

No. 4
The following is a DFT calculation (PBE) of crystalline Dy4Er5Al at its relaxed geometry.

The structure in POSCAR format:
```
Dy4Er5Al
1.0
3.5104 0.0000 0.0000
0.0000 3.5104 0.0000
0.0000 0.0000 23.9241
Dy Er Al
4 5 1
Direct
0.0000 0.0000 0.1049
0.0000 0.0000 0.3147
0.0000 0.0000 0.6853
0.0000 0.0000 0.8951
0.5000 0.5000 0.0000
0.5000 0.5000 0.2101
0.5000 0.5000 0.4210
0.5000 0.5000 0.5790
0.5000 0.5000 0.7899
0.0000 0.0000 0.5000
```

Summary:
As for the space group: P4/mmm. Its volume is 29.5 A^3/atom. The energy of formation comes out at -0.063 eV/atom.

***

Number 1: total moment 0.0 μB per formula unit. Number 2: total moment 0.0 μB per formula unit. Number 3: total moment 0.0 μB per formula unit. Number 4: total moment 0.0 μB per formula unit.